DFT (GGA-PBE) results for Cs3PmSm2Se6 after structural relaxation.

The structure in CIF format:
```
data_Cs3PmSm2Se6
_symmetry_space_group_name_H-M 'P 1'
_symmetry_Int_Tables_number 1
_cell_length_a 7.550
_cell_length_b 7.550
_cell_length_c 8.771
_cell_angle_alpha 98.25
_cell_angle_beta 98.25
_cell_angle_gamma 120.00
loop_
_symmetry_equiv_pos_as_xyz
'x,y,z'
loop_
_atom_site_label
_atom_site_type_symbol
_atom_site_fract_x
_atom_site_fract_y
_atom_site_fract_z
Se1 Se 0.728 0.728 0.189
Se2 Se 0.063 0.397 0.189
Se3 Se 0.603 0.937 0.811
Se4 Se 0.397 0.063 0.189
Se5 Se 0.272 0.272 0.811
Se6 Se 0.937 0.603 0.811
Sm1 Sm 0.333 0.667 0.000
Sm2 Sm 0.667 0.333 0.000
Cs1 Cs 0.167 0.833 0.500
Cs2 Cs 0.500 0.500 0.500
Cs3 Cs 0.833 0.167 0.500
Pm1 Pm 0.000 0.000 0.000
```

Output
ΔE_f (raw)   -1.731 eV/atom
Crystal system   monoclinic
Fermi-level density of states   0.000 states/eV per atom
Total magnetic moment   0.00 μB per formula unit



DFT (GGA-PBE) results for Cs4Pm3SmSe8 after structural relaxation.

The structure in CIF format:
```
data_Cs4Pm3SmSe8
_symmetry_space_group_name_H-M 'P 1'
_symmetry_Int_Tables_number 1
_cell_length_a 8.736
_cell_length_b 9.802
_cell_length_c 8.737
_cell_angle_alpha 116.48
_cell_angle_beta 119.99
_cell_angle_gamma 90.00
loop_
_symmetry_equiv_pos_as_xyz
'x,y,z'
loop_
_atom_site_label
_atom_site_type_symbol
_atom_site_fract_x
_atom_site_fract_y
_atom_site_fract_z
Se1 Se 0.270 0.310 0.540
Se2 Se 0.229 0.689 0.960
Se3 Se 0.229 0.689 0.458
Se4 Se 0.771 0.311 0.040
Se5 Se 0.771 0.311 0.542
Se6 Se 0.731 0.689 0.960
Se7 Se 0.269 0.311 0.040
Se8 Se 0.730 0.690 0.460
Pm1 Pm 0.500 0.500 0.500
Pm2 Pm 0.500 0.500 0.000
Pm3 Pm 0.000 0.500 0.500
Cs1 Cs 0.500 0.000 0.000
Cs2 Cs 0.000 0.000 0.500
Cs3 Cs 0.000 0.000 0.000
Cs4 Cs 0.500 0.000 0.500
Sm1 Sm 0.000 0.500 0.000
```

Output
ΔE_f (raw)   -1.732 eV/atom
Crystal system   trigonal
Fermi-level density of states   0.000 states/eV per atom
Total magnetic moment   0.00 μB per formula unit



DFT (GGA-PBE) results for Cs2Pm2SnSe6 after structural relaxation.

The structure in CIF format:
```
data_Cs2Pm2SnSe6
_symmetry_space_group_name_H-M 'P 1'
_symmetry_Int_Tables_number 1
_cell_length_a 7.290
_cell_length_b 7.290
_cell_length_c 9.009
_cell_angle_alpha 98.18
_cell_angle_beta 98.18
_cell_angle_gamma 119.61
loop_
_symmetry_equiv_pos_as_xyz
'x,y,z'
loop_
_atom_site_label
_atom_site_type_symbol
_atom_site_fract_x
_atom_site_fract_y
_atom_site_fract_z
Cs1 Cs 0.828 0.172 0.000
Cs2 Cs 0.172 0.828 0.000
Se1 Se 0.380 0.066 0.685
Se2 Se 0.753 0.753 0.681
Se3 Se 0.934 0.620 0.315
Se4 Se 0.247 0.247 0.319
Se5 Se 0.066 0.380 0.685
Se6 Se 0.620 0.934 0.315
Pm1 Pm 0.332 0.668 0.500
Pm2 Pm 0.668 0.332 0.500
Sn1 Sn 0.000 0.000 0.500
```

Output
ΔE_f (raw)   -1.329 eV/atom
Crystal system   monoclinic
Total magnetic moment   0.00 μB per formula unit



DFT (GGA-PBE) results for CsPmSnSe3 after structural relaxation.

The structure in CIF format:
```
data_CsPmSnSe3
_symmetry_space_group_name_H-M 'P 1'
_symmetry_Int_Tables_number 1
_cell_length_a 4.288
_cell_length_b 9.341
_cell_length_c 11.864
_cell_angle_alpha 109.55
_cell_angle_beta 90.00
_cell_angle_gamma 90.00
loop_
_symmetry_equiv_pos_as_xyz
'x,y,z'
loop_
_atom_site_label
_atom_site_type_symbol
_atom_site_fract_x
_atom_site_fract_y
_atom_site_fract_z
Se1 Se 0.250 0.122 0.786
Se2 Se 0.750 0.878 0.214
Se3 Se 0.750 0.412 0.106
Se4 Se 0.250 0.588 0.894
Se5 Se 0.750 0.340 0.592
Se6 Se 0.250 0.660 0.408
Cs1 Cs 0.250 0.232 0.268
Cs2 Cs 0.750 0.768 0.732
Pm1 Pm 0.750 0.361 0.851
Pm2 Pm 0.250 0.639 0.149
Sn1 Sn 0.750 0.861 0.434
Sn2 Sn 0.250 0.139 0.566
```

Output
ΔE_f (raw)   -1.308 eV/atom
Crystal system   monoclinic
Total magnetic moment   0.00 μB per formula unit



DFT (GGA-PBE) results for Cs2TbPmSe4 after structural relaxation.

The structure in CIF format:
```
data_Cs2TbPmSe4
_symmetry_space_group_name_H-M 'P 1'
_symmetry_Int_Tables_number 1
_cell_length_a 4.330
_cell_length_b 7.501
_cell_length_c 8.755
_cell_angle_alpha 106.58
_cell_angle_beta 90.00
_cell_angle_gamma 90.00
loop_
_symmetry_equiv_pos_as_xyz
'x,y,z'
loop_
_atom_site_label
_atom_site_type_symbol
_atom_site_fract_x
_atom_site_fract_y
_atom_site_fract_z
Se1 Se 0.000 0.276 0.813
Se2 Se 0.500 0.766 0.811
Se3 Se 0.500 0.234 0.189
Se4 Se 0.000 0.724 0.187
Cs1 Cs 0.500 0.000 0.500
Cs2 Cs 0.000 0.500 0.500
Tb1 Tb 0.500 0.500 0.000
Pm1 Pm 0.000 0.000 0.000
```

Output
ΔE_f (raw)   -1.730 eV/atom
Crystal system   monoclinic
Fermi-level density of states   0.000 states/eV per atom
Total magnetic moment   0.00 μB per formula unit



DFT (GGA-PBE) results for Cs4TbPm3Se8 after structural relaxation.

The structure in CIF format:
```
data_Cs4TbPm3Se8
_symmetry_space_group_name_H-M 'P 1'
_symmetry_Int_Tables_number 1
_cell_length_a 8.703
_cell_length_b 9.788
_cell_length_c 8.704
_cell_angle_alpha 116.41
_cell_angle_beta 120.00
_cell_angle_gamma 90.00
loop_
_symmetry_equiv_pos_as_xyz
'x,y,z'
loop_
_atom_site_label
_atom_site_type_symbol
_atom_site_fract_x
_atom_site_fract_y
_atom_site_fract_z
Se1 Se 0.773 0.312 0.039
Se2 Se 0.734 0.688 0.961
Se3 Se 0.227 0.688 0.961
Se4 Se 0.270 0.310 0.540
Se5 Se 0.773 0.312 0.546
Se6 Se 0.730 0.690 0.460
Se7 Se 0.227 0.688 0.454
Se8 Se 0.266 0.312 0.039
Cs1 Cs 0.000 0.000 0.500
Cs2 Cs 0.000 0.000 0.000
Cs3 Cs 0.500 0.000 0.500
Cs4 Cs 0.500 0.000 0.000
Pm1 Pm 0.000 0.500 0.500
Pm2 Pm 0.500 0.500 0.000
Pm3 Pm 0.500 0.500 0.500
Tb1 Tb 0.000 0.500 0.000
```

Output
ΔE_f (raw)   -1.731 eV/atom
Crystal system   trigonal
Fermi-level density of states   0.000 states/eV per atom
Total magnetic moment   0.00 μB per formula unit